Entry 1:
A plane-wave DFT calculation with meta-GGA SCAN was carried out for LiCl at its PBEsol-relaxed geometry.

Output
Size of the total moment = 0.00 μB per atom
Symmetry = Cm
Formation energy (no corrections) = -2.01 eV/atom
Density = 2.18 g cm⁻³
Total energy = -7.196 eV per atom

Cell: 3.547 3.548 9.136 Å, 101.17 90.00 119.99°
Fractional coordinates of all 6 atoms:
Cl 0.500 0.000 0.390
Li 0.777 0.555 0.222
Cl 0.055 0.110 0.055
Li 0.666 0.332 0.886
Li 0.891 0.781 0.559
Cl 0.278 0.556 0.722

=====

Entry 2:
A plane-wave DFT calculation with meta-GGA SCAN was carried out for Li3Cl at its PBEsol-relaxed geometry.

Output
Size of the total moment = 0.05 μB per atom
Symmetry = I4/mmm
Formation energy (no corrections) = -0.71 eV/atom
Density = 1.22 g cm⁻³
Energy above the lowest structure with this stoichiometry = 165 meV/atom
Total energy = -4.493 eV per atom

Cell: 3.787 3.787 10.996 Å, 99.92 99.92 90.00°
Fractional coordinates of all 8 atoms:
Li 0.250 0.750 0.500
Cl 0.421 0.421 0.841
Li 0.500 0.000 0.000
Li 0.122 0.122 0.244
Li 0.000 0.500 0.000
Li 0.878 0.878 0.756
Cl 0.579 0.579 0.159
Li 0.750 0.250 0.500

=====

Entry 3:
A plane-wave DFT calculation with meta-GGA SCAN was carried out for Na2LiLuCl6 at its PBEsol-relaxed geometry.

Output
Size of the total moment = 0.00 μB per atom
Symmetry = Fm-3m
Formation energy (no corrections) = -2.11 eV/atom
Density = 2.96 g cm⁻³
Total energy = -13.515 eV per atom

Cell: 7.045 7.045 7.045 Å, 60.00 60.00 60.00°
Fractional coordinates of all 10 atoms:
Cl 0.253 0.253 0.747
Cl 0.253 0.747 0.747
Lu 0.000 0.000 0.000
Cl 0.747 0.747 0.253
Na 0.250 0.250 0.250
Li 0.500 0.500 0.500
Cl 0.747 0.253 0.747
Na 0.750 0.750 0.750
Cl 0.253 0.747 0.253
Cl 0.747 0.253 0.253

=====

Entry 4:
A plane-wave DFT calculation with meta-GGA SCAN was carried out for Li3MgCl at its PBEsol-relaxed geometry.

Output
Size of the total moment = 0.00 μB per atom
Symmetry = Pm-3m
Formation energy (no corrections) = -0.56 eV/atom
Density = 1.28 g cm⁻³
Total energy = -4.583 eV per atom

Cell: 4.714 4.714 4.714 Å, 90.00 90.00 90.00°
Fractional coordinates of all 5 atoms:
Cl 0.000 0.000 0.000
Mg 0.500 0.500 0.500
Li 0.500 0.000 0.000
Li 0.000 0.500 0.000
Li 0.000 0.000 0.500